# 1
TlGeB3 | PBE-GGA | optimized geometry

**VASP energy**: -2.852 eV/atom
**ΔE to the lowest computed polymorph**: 759 meV per atom
**Total magnetic moment**: 0.00 μB per cell
**Formation enthalpy at 0 K**: 12.76 eV/f.u.

a = 4.5593 Å, b = 4.5593 Å, c = 4.5593 Å
α = 90.00°, β = 90.00°, γ = 90.00°
Element x y z (fractional)
Tl: 0.0000 0.0000 0.0000
Ge: 0.5000 0.5000 0.5000
B: 0.0000 0.0000 0.5000
B: 0.0000 0.5000 0.0000
B: 0.5000 0.0000 0.0000

***

# 2
Tl2GeBW | PBE-GGA | optimized geometry

**VASP energy**: -4.588 eV/atom
**Total magnetic moment**: 0.00 μB per cell
**Formation enthalpy at 0 K**: 6.04 eV/f.u.

a = 5.4328 Å, b = 5.4328 Å, c = 4.1968 Å
α = 90.00°, β = 90.00°, γ = 90.00°
Element x y z (fractional)
Tl: 0.0000 0.5000 0.0000
Tl: 0.5000 0.0000 0.0000
Ge: 0.0000 0.0000 0.5000
B: 0.5000 0.5000 0.5000
W: 0.5000 0.5000 0.0000

***

# 3
TmGeB | PBE-GGA | optimized geometry

**VASP energy**: -5.716 eV/atom
**ΔE to the lowest computed polymorph**: 0 meV per atom
**Total magnetic moment**: 0.00 μB per cell
**Formation enthalpy at 0 K**: -1.38 eV/f.u.

a = 3.5946 Å, b = 3.5946 Å, c = 4.2346 Å
α = 90.00°, β = 90.00°, γ = 120.00°
Element x y z (fractional)
Tm: 0.0000 0.0000 0.0000
Ge: 0.6667 0.3333 0.5158
B: 0.3333 0.6667 0.3837

***

# 4
TmGeB | PBE-GGA | optimized geometry

**VASP energy**: -5.386 eV/atom
**ΔE to the lowest computed polymorph**: 330 meV per atom
**Total magnetic moment**: 0.00 μB per cell
**Formation enthalpy at 0 K**: -0.39 eV/f.u.

a = 10.5274 Å, b = 3.5896 Å, c = 5.4202 Å
α = 90.00°, β = 90.00°, γ = 90.00°
Element x y z (fractional)
Tm: 0.0556 0.2500 0.2443
Tm: 0.4444 0.7500 0.7443
Tm: 0.5556 0.2500 0.2557
Tm: 0.9444 0.7500 0.7557
Ge: 0.1911 0.7500 0.5662
Ge: 0.3089 0.2500 0.0662
Ge: 0.6911 0.7500 0.9338
Ge: 0.8089 0.2500 0.4338
B: 0.1544 0.2500 0.7872
B: 0.3456 0.7500 0.2872
B: 0.6544 0.2500 0.7128
B: 0.8456 0.7500 0.2128

***

# 5
VGe3B | PBE-GGA | optimized geometry

**VASP energy**: -5.074 eV/atom
**ΔE to the lowest computed polymorph**: 0 meV per atom
**Total magnetic moment**: 3.13 μB per cell
**Formation enthalpy at 0 K**: 4.28 eV/f.u.

a = 4.3485 Å, b = 4.3485 Å, c = 4.3485 Å
α = 90.00°, β = 90.00°, γ = 90.00°
Element x y z (fractional)
V: 0.0000 0.0000 0.0000
Ge: 0.0000 0.5000 0.5000
Ge: 0.5000 0.0000 0.5000
Ge: 0.5000 0.5000 0.0000
B: 0.5000 0.5000 0.5000

***

# 6
V4Ge2B | PBE-GGA | optimized geometry

**VASP energy**: -7.601 eV/atom
**Total magnetic moment**: 2.23 μB per cell
**Formation enthalpy at 0 K**: -0.82 eV/f.u.

a = 7.0232 Å, b = 7.0232 Å, c = 7.0232 Å
α = 147.47°, β = 147.47°, γ = 46.67°
Element x y z (fractional)
V: 0.0000 0.5000 0.5000
V: 0.1614 0.1614 0.0000
V: 0.5000 0.0000 0.5000
V: 0.8386 0.8386 0.0000
Ge: 0.3582 0.3582 0.0000
Ge: 0.6418 0.6418 0.0000
B: 0.0000 0.0000 0.0000

***

# 7
VGeB2 | PBE-GGA | optimized geometry

**VASP energy**: -6.091 eV/atom
**Total magnetic moment**: 0.00 μB per cell
**Formation enthalpy at 0 K**: 2.73 eV/f.u.

a = 4.9017 Å, b = 4.9017 Å, c = 4.9017 Å
α = 109.45°, β = 109.45°, γ = 109.52°
Element x y z (fractional)
V: 0.0000 0.0000 0.0000
V: 0.7500 0.2500 0.5000
Ge: 0.2500 0.7500 0.5000
Ge: 0.5000 0.5000 0.0000
B: 0.1417 0.6250 0.0167
B: 0.3750 0.3917 0.5167
B: 0.6083 0.1250 0.9833
B: 0.8750 0.8583 0.4833

***

# 8
VGeB3 | PBE-GGA | optimized geometry

**VASP energy**: -5.494 eV/atom
**ΔE to the lowest computed polymorph**: 0 meV per atom
**Total magnetic moment**: 0.00 μB per cell
**Formation enthalpy at 0 K**: 6.30 eV/f.u.

a = 4.0361 Å, b = 4.0361 Å, c = 4.0361 Å
α = 90.00°, β = 90.00°, γ = 90.00°
Element x y z (fractional)
V: 0.0000 0.0000 0.0000
Ge: 0.5000 0.5000 0.5000
B: 0.0000 0.0000 0.5000
B: 0.0000 0.5000 0.0000
B: 0.5000 0.0000 0.0000

***

# 9
VGe3B | PBE-GGA | optimized geometry

**VASP energy**: -4.821 eV/atom
**ΔE to the lowest computed polymorph**: 253 meV per atom
**Total magnetic moment**: 0.11 μB per cell
**Formation enthalpy at 0 K**: 5.54 eV/f.u.

a = 4.7195 Å, b = 4.7195 Å, c = 4.7195 Å
α = 90.00°, β = 90.00°, γ = 90.00°
Element x y z (fractional)
V: 0.0000 0.0000 0.0000
Ge: 0.0000 0.0000 0.5000
Ge: 0.0000 0.5000 0.0000
Ge: 0.5000 0.0000 0.0000
B: 0.5000 0.5000 0.5000

***

# 10
V8GeB2 | PBE-GGA | optimized geometry

**VASP energy**: -8.472 eV/atom
**Total magnetic moment**: 0.00 μB per cell
**Formation enthalpy at 0 K**: -2.27 eV/f.u.

a = 5.8826 Å, b = 5.8826 Å, c = 4.3679 Å
α = 98.07°, β = 98.07°, γ = 110.94°
Element x y z (fractional)
V: 0.1096 0.1096 0.7965
V: 0.1675 0.4243 0.3936
V: 0.2378 0.7622 0.0000
V: 0.4243 0.1675 0.3936
V: 0.5757 0.8325 0.6063
V: 0.7622 0.2378 0.0000
V: 0.8325 0.5757 0.6063
V: 0.8904 0.8904 0.2035
Ge: 0.5000 0.5000 0.0000
B: 0.1856 0.8144 0.5000
B: 0.8144 0.1856 0.5000

***

# 11
VGeB3 | PBE-GGA | optimized geometry

**VASP energy**: -4.847 eV/atom
**ΔE to the lowest computed polymorph**: 647 meV per atom
**Total magnetic moment**: 2.23 μB per cell
**Formation enthalpy at 0 K**: 9.54 eV/f.u.

a = 4.0287 Å, b = 4.0287 Å, c = 4.0287 Å
α = 90.00°, β = 90.00°, γ = 90.00°
Element x y z (fractional)
V: 0.0000 0.0000 0.0000
Ge: 0.5000 0.5000 0.5000
B: 0.0000 0.5000 0.5000
B: 0.5000 0.0000 0.5000
B: 0.5000 0.5000 0.0000

***

# 12
GeBW3 | PBE-GGA | optimized geometry

**VASP energy**: -9.525 eV/atom
**ΔE to the lowest computed polymorph**: 0 meV per atom
**Total magnetic moment**: 0.00 μB per cell
**Formation enthalpy at 0 K**: 2.53 eV/f.u.

a = 4.2035 Å, b = 4.2035 Å, c = 4.2035 Å
α = 90.00°, β = 90.00°, γ = 90.00°
Element x y z (fractional)
Ge: 0.0000 0.0000 0.0000
B: 0.5000 0.5000 0.5000
W: 0.0000 0.5000 0.5000
W: 0.5000 0.0000 0.5000
W: 0.5000 0.5000 0.0000

***

# 13
Ge2BW | PBE-GGA | optimized geometry

**VASP energy**: -6.375 eV/atom
**Total magnetic moment**: 0.00 μB per cell
**Formation enthalpy at 0 K**: 3.36 eV/f.u.

a = 5.3188 Å, b = 5.3188 Å, c = 5.3188 Å
α = 103.94°, β = 103.94°, γ = 121.20°
Element x y z (fractional)
Ge: 0.0545 0.6250 0.9295
Ge: 0.3750 0.3045 0.4295
Ge: 0.6955 0.1250 0.0705
Ge: 0.8750 0.9455 0.5705
B: 0.0000 0.0000 0.0000
B: 0.7500 0.2500 0.5000
W: 0.2500 0.7500 0.5000
W: 0.5000 0.5000 0.0000

***

# 14
Y2GeB | PBE-GGA | optimized geometry

**VASP energy**: -6.072 eV/atom
**ΔE to the lowest computed polymorph**: 51 meV per atom
**Total magnetic moment**: 0.00 μB per cell
**Formation enthalpy at 0 K**: -0.07 eV/f.u.

a = 6.1465 Å, b = 6.1465 Å, c = 6.1465 Å
α = 107.57°, β = 107.57°, γ = 113.34°
Element x y z (fractional)
Y: 0.0840 0.1250 0.4590
Y: 0.3750 0.9160 0.0410
Y: 0.6660 0.6250 0.5410
Y: 0.8750 0.3340 0.9590
Ge: 0.2500 0.7500 0.5000
Ge: 0.5000 0.5000 0.0000
B: 0.0000 0.0000 0.0000
B: 0.7500 0.2500 0.5000